Here is an optimized crystal structure of CaSbH from Alexandria. Energies are from PBE.

Properties
* ΔE to the lowest computed polymorph: 100.0 meV/atom

abc: 4.0823 8.2081 8.1321
angles: 90.00 90.00 90.00
Fractional positions:
Ca1 0.0000 0.0000 0.0000
Ca2 0.0000 0.0000 0.5000
Ca3 0.5000 0.5000 0.0000
Ca4 0.5000 0.5000 0.5000
Sb1 0.0000 0.3099 0.2500
Sb2 0.0000 0.6901 0.7500
Sb3 0.5000 0.1901 0.7500
Sb4 0.5000 0.8099 0.2500
H1 0.0000 0.1464 0.7500
H2 0.0000 0.8536 0.2500
H3 0.5000 0.3536 0.2500
H4 0.5000 0.6464 0.7500

Here is an optimized crystal structure of PuPd2Pb from Alexandria. Energies are from PBE.

Properties
* energy of formation: -0.29 eV per atom

abc: 4.8583 4.8583 3.6379
angles: 90.00 90.00 90.00
Fractional positions:
Pu1 0.0000 0.0000 0.0000
Pd1 0.0000 0.5000 0.5000
Pd2 0.5000 0.0000 0.5000
Pb1 0.5000 0.5000 0.0000

Here is an optimized crystal structure of CaCdPH from Alexandria. Energies are from PBE.

Properties
* E_tot: -13.95 eV per formula unit

abc: 4.2566 4.2566 9.7764
angles: 90.00 90.00 120.00
Fractional positions:
Ca1 0.3333 0.6667 0.0000
Ca2 0.6667 0.3333 0.5000
Cd1 0.0000 0.0000 0.2464
Cd2 0.0000 0.0000 0.7464
P1 0.3333 0.6667 0.3296
P2 0.6667 0.3333 0.8296
H1 0.0000 0.0000 0.0550
H2 0.0000 0.0000 0.5550

Here is an optimized crystal structure of SmZr2 from Alexandria. Energies are from PBE.

Properties
* ΔE to the lowest computed polymorph: 145.1 meV/atom
* energy of formation: 0.27 eV per atom

abc: 6.1454 6.1454 6.1454
angles: 60.00 60.00 60.00
Fractional positions:
Sm1 0.1250 0.1250 0.1250
Sm2 0.8750 0.8750 0.8750
Zr1 0.0000 0.5000 0.5000
Zr2 0.5000 0.0000 0.5000
Zr3 0.5000 0.5000 0.0000
Zr4 0.5000 0.5000 0.5000

Here is an optimized crystal structure of Tb5Sm2YTm from Alexandria. Energies are from PBE.

Properties
* energy of formation: 0.28 eV per atom

abc: 9.9736 9.9736 9.9736
angles: 128.85 128.85 75.25
Fractional positions:
Tb1 0.0000 0.0000 0.0000
Tb2 0.0720 0.5720 0.9240
Tb3 0.1480 0.0720 0.5000
Tb4 0.3520 0.8520 0.9240
Tb5 0.4280 0.3520 0.5000
Tb6 0.5000 0.5000 0.0000
Tb7 0.5720 0.6480 0.5000
Tb8 0.6480 0.1480 0.0760
Tb9 0.8520 0.9280 0.5000
Tb10 0.9280 0.4280 0.0760
Sm1 0.1182 0.3818 0.5000
Sm2 0.3818 0.8818 0.2637
Sm3 0.6182 0.1182 0.7363
Sm4 0.8818 0.6182 0.5000
Y1 0.2500 0.2500 0.0000
Y2 0.7500 0.7500 0.0000
Tm1 0.2500 0.7500 0.5000
Tm2 0.7500 0.2500 0.5000

Here is an optimized crystal structure of YZr2Fe from Alexandria. Energies are from PBE.

Properties
* ΔE to the lowest computed polymorph: 170.7 meV/atom
* energy of formation: 0.16 eV per atom

abc: 3.3990 3.3990 27.1652
angles: 90.00 90.00 120.00
Fractional positions:
Y1 0.0000 0.0000 0.0000
Y2 0.3333 0.6667 0.6667
Y3 0.6667 0.3333 0.3333
Zr1 0.0000 0.0000 0.2269
Zr2 0.0000 0.0000 0.7731
Zr3 0.3333 0.6667 0.4397
Zr4 0.3333 0.6667 0.8936
Zr5 0.6667 0.3333 0.1064
Zr6 0.6667 0.3333 0.5603
Fe1 0.0000 0.0000 0.5000
Fe2 0.3333 0.6667 0.1667
Fe3 0.6667 0.3333 0.8333